A relaxed structure of KAsAu2, computed with GGA-PBE.

Summary:
- magnetization (μB/cell) = 0.0
- uncorrected energy (hartree per atom) = -0.1108
- D(E_F) (states/eV per cell) = 2.38
- space group = Immm
- ΔE_f (eV/atom) = 0.060

Cell and atoms, written as CIF:
```
data_KAsAu2
_cell_length_a 5.8267
_cell_length_b 5.8267
_cell_length_c 5.8267
_cell_angle_alpha 142.37
_cell_angle_beta 123.05
_cell_angle_gamma 70.28
_symmetry_space_group_name_H-M 'P 1'
_symmetry_Int_Tables_number 1
_symmetry_space_group_name_Hall 'P 1'
loop_
_atom_site_label
_atom_site_fract_x
_atom_site_fract_y
_atom_site_fract_z
_atom_site_occupancy
K1 0.0000 0.0000 0.0000 1
As1 0.5000 0.5000 0.0000 1
Au1 0.3051 0.8051 0.5000 1
Au2 0.6949 0.1949 0.5000 1
```